# 1
! PBE Re2HIrW, relaxed; values from VASP
&SYSTEM
  ibrav = 0, nat = 5, ntyp = 4
/
ATOMIC_SPECIES
Re 186.21 Re.upf
W 183.84 W.upf
Ir 192.22 Ir.upf
H 1.01 H.upf
ATOMIC_POSITIONS crystal
Re 0.000 0.500 0.000
W 0.500 0.500 0.500
Re 0.500 0.000 0.000
Ir 0.000 0.000 0.500
H 0.000 0.000 0.000
CELL_PARAMETERS angstrom
-3.395 2.011 -0.487
-1.951 -3.423 -0.533
-0.685 -0.215 3.882
! D(E_F), states/eV/f.u.: 3.2
! Symmetry: P4/mmm (123)
! E above lowest polymorph, meV/atom: 5
! Magnetic moment, μB per cell: 0.00


# 2
! PBE Re2HIrW, relaxed; values from VASP
&SYSTEM
  ibrav = 0, nat = 5, ntyp = 4
/
ATOMIC_SPECIES
H 1.01 H.upf
W 183.84 W.upf
Re 186.21 Re.upf
Ir 192.22 Ir.upf
ATOMIC_POSITIONS crystal
H 0.000 0.000 0.000
W 0.000 0.000 0.500
Re 0.500 0.000 0.000
Ir 0.500 0.500 0.500
Re 0.000 0.500 0.000
CELL_PARAMETERS angstrom
3.950 0.000 0.000
0.000 3.950 0.000
0.000 0.000 3.995
! D(E_F), states/eV/f.u.: 4.3
! Symmetry: P4/mmm (123)
! E above lowest polymorph, meV/atom: 0
! Magnetic moment, μB per cell: 0.00